Below is crystalline ReP2Pt at its relaxed geometry, with properties calculated at the PBE-GGA level.

Summary:
raw total energy: -7.41 eV per atom
energy of formation from the pure elements: -0.082 eV/atom
total magnetic moment: 0.000 μB/atom

a b c (Å): 2.9781 2.9781 22.5711
angles (deg): 90.00 90.00 120.00
Closest atoms and distances in Å follow each position.
Space group R-3m (No. 166, hexagonal axes)
One atom of each set of equivalent atoms:
1 Re 0.0000 0.0000 0.0000  6 P 2.45
2 P 0.0000 0.0000 0.2563  3 Re 2.45, 3 Pt 2.66
3 Pt 0.0000 0.0000 0.5000  6 P 2.66